Record 1
# CaLa2Co | the Alexandria database | GGA-PBE | relaxed
# - space group = No. 65
# - total energy (eV per atom) = -4.7315
# - N(E_F) (states/eV/atom) = 1.42
# - DFT formation energy (meV/atom) = 9
data_CaLa2Co
_chemical_formula_sum 'Ca1 La2 Co1'
_symmetry_space_group_name_H-M 'P 1'
_symmetry_Int_Tables_number 1
_cell_length_a 3.6198
_cell_length_b 3.6198
_cell_length_c 9.8745
_cell_angle_alpha 90.00
_cell_angle_beta 90.00
_cell_angle_gamma 102.94
loop_
_symmetry_equiv_pos_as_xyz
'x,y,z'
loop_
_atom_site_label
_atom_site_type_symbol
_atom_site_fract_x
_atom_site_fract_y
_atom_site_fract_z
Ca1 Ca 0.0000 0.0000 0.0000
La1 La 0.5000 0.5000 0.3370
La2 La 0.5000 0.5000 0.6630
Co1 Co 0.0000 0.0000 0.5000

---

Record 2
# Zn3GaRu | the Alexandria database | GGA-PBE | relaxed
# - space group = No. 62
# - total energy (eV per atom) = -3.2808
# - N(E_F) (states/eV/atom) = 0.37
# - DFT formation energy (meV/atom) = -56
data_Zn3GaRu
_chemical_formula_sum 'Zn12 Ga4 Ru4'
_symmetry_space_group_name_H-M 'P 1'
_symmetry_Int_Tables_number 1
_cell_length_a 6.2659
_cell_length_b 6.4109
_cell_length_c 7.7637
_cell_angle_alpha 90.00
_cell_angle_beta 90.00
_cell_angle_gamma 90.00
loop_
_symmetry_equiv_pos_as_xyz
'x,y,z'
loop_
_atom_site_label
_atom_site_type_symbol
_atom_site_fract_x
_atom_site_fract_y
_atom_site_fract_z
Zn1 Zn 0.1332 0.0604 0.1787
Zn2 Zn 0.1332 0.4396 0.1787
Zn3 Zn 0.1418 0.2500 0.8161
Zn4 Zn 0.3582 0.7500 0.3161
Zn5 Zn 0.3668 0.5604 0.6787
Zn6 Zn 0.3668 0.9396 0.6787
Zn7 Zn 0.6332 0.0604 0.3213
Zn8 Zn 0.6332 0.4396 0.3213
Zn9 Zn 0.6418 0.2500 0.6839
Zn10 Zn 0.8582 0.7500 0.1839
Zn11 Zn 0.8668 0.5604 0.8213
Zn12 Zn 0.8668 0.9396 0.8213
Ga1 Ga 0.0000 0.0000 0.5000
Ga2 Ga 0.0000 0.5000 0.5000
Ga3 Ga 0.5000 0.0000 0.0000
Ga4 Ga 0.5000 0.5000 0.0000
Ru1 Ru 0.2038 0.7500 0.9729
Ru2 Ru 0.2962 0.2500 0.4729
Ru3 Ru 0.7038 0.7500 0.5271
Ru4 Ru 0.7962 0.2500 0.0271

---

Record 3
# Nd5Sm8Sc | the Alexandria database | GGA-PBE | relaxed
# - space group = No. 82
# - total energy (eV per atom) = -4.6046
# - N(E_F) (states/eV/atom) = 1.47
# - DFT formation energy (meV/atom) = 247
data_Nd5Sm8Sc
_chemical_formula_sum 'Nd5 Sm8 Sc1'
_symmetry_space_group_name_H-M 'P 1'
_symmetry_Int_Tables_number 1
_cell_length_a 8.5492
_cell_length_b 8.5492
_cell_length_c 8.5492
_cell_angle_alpha 110.51
_cell_angle_beta 110.51
_cell_angle_gamma 107.42
loop_
_symmetry_equiv_pos_as_xyz
'x,y,z'
loop_
_atom_site_label
_atom_site_type_symbol
_atom_site_fract_x
_atom_site_fract_y
_atom_site_fract_z
Nd1 Nd 0.0000 0.0000 0.0000
Nd2 Nd 0.2097 0.5241 0.8944
Nd3 Nd 0.4759 0.3704 0.6856
Nd4 Nd 0.6296 0.3153 0.1056
Nd5 Nd 0.6847 0.7903 0.3144
Sm1 Sm 0.1640 0.0579 0.7281
Sm2 Sm 0.3298 0.4360 0.2719
Sm3 Sm 0.4191 0.0221 0.2616
Sm4 Sm 0.5640 0.8360 0.8939
Sm5 Sm 0.7605 0.1575 0.7384
Sm6 Sm 0.8425 0.5809 0.6030
Sm7 Sm 0.9421 0.6702 0.1061
Sm8 Sm 0.9779 0.2395 0.3970
Sc1 Sc 0.2500 0.7500 0.5000

---

Record 4
# CuNiRh2 | the Alexandria database | GGA-PBE | relaxed
# - space group = No. 166
# - total energy (eV per atom) = -6.0640
# - N(E_F) (states/eV/atom) = 1.65
# - DFT formation energy (meV/atom) = 81
data_CuNiRh2
_chemical_formula_sum 'Cu1 Ni1 Rh2'
_symmetry_space_group_name_H-M 'P 1'
_symmetry_Int_Tables_number 1
_cell_length_a 8.6327
_cell_length_b 8.6327
_cell_length_c 8.6327
_cell_angle_alpha 17.85
_cell_angle_beta 17.85
_cell_angle_gamma 17.85
loop_
_symmetry_equiv_pos_as_xyz
'x,y,z'
loop_
_atom_site_label
_atom_site_type_symbol
_atom_site_fract_x
_atom_site_fract_y
_atom_site_fract_z
Cu1 Cu 0.0000 0.0000 0.0000
Ni1 Ni 0.5000 0.5000 0.5000
Rh1 Rh 0.2485 0.2485 0.2485
Rh2 Rh 0.7515 0.7515 0.7515

---

Calculated mass density, 4.96; 7.82; 6.80; 10.32 g/cm3 (same order as the records).